Record 1
Density functional theory data (PBE) for a geometry-optimized LaPrI6 structure.

a = 10.1181 Å, b = 7.9844 Å, c = 7.9844 Å
α = 32.01°, β = 90.00°, γ = 90.00°
Element x y z (fractional)
I 0.6840 0.1533 0.1533
La 0.5000 0.7592 0.7592
I 0.8180 0.8458 0.8458
I 0.3160 0.1533 0.1533
I 0.0000 0.5921 0.5921
I 0.1820 0.8458 0.8458
Pr 0.0000 0.2409 0.2409
I 0.5000 0.4097 0.4097

Computed properties:
Total energy = -30.8 eV for the cell shown
Magnetization = 0.00 μB per atom


Record 2
Density functional theory data (PBE) for a geometry-optimized LaPrI4 structure.

a = 3.9228 Å, b = 3.9228 Å, c = 14.8864 Å
α = 90.00°, β = 90.00°, γ = 90.00°
Element x y z (fractional)
Pr 0.5000 0.5000 0.5000
I 0.0000 0.0000 0.3721
I 0.5000 0.5000 0.8719
La 0.0000 0.0000 0.0000
I 0.5000 0.5000 0.1280
I 0.0000 0.0000 0.6279

Computed properties:
Total energy = -24.1 eV for the cell shown
Magnetization = 0.00 μB per atom


Record 3
Density functional theory data (PBE) for a geometry-optimized LaPrSi2I2 structure.

a = 4.2240 Å, b = 4.2240 Å, c = 12.7894 Å
α = 90.00°, β = 90.00°, γ = 120.00°
Element x y z (fractional)
Pr 0.0000 0.0000 0.3409
Si 0.3333 0.6667 0.5035
I 0.3333 0.6667 0.1734
Si 0.6667 0.3333 0.4936
La 0.0000 0.0000 0.6587
I 0.6667 0.3333 0.8300

Computed properties:
Total energy = -30.3 eV for the cell shown
Magnetization = 0.00 μB per atom


Record 4
Density functional theory data (PBE) for a geometry-optimized La3PtI structure.

a = 5.7961 Å, b = 5.7961 Å, c = 5.7961 Å
α = 90.00°, β = 90.00°, γ = 90.00°
Element x y z (fractional)
La 0.0000 0.0000 0.5000
Pt 0.5000 0.5000 0.5000
I 0.0000 0.0000 0.0000
La 0.5000 0.0000 0.0000
La 0.0000 0.5000 0.0000

Computed properties:
Total energy = -21.1 eV for the cell shown
Magnetization = 0.00 μB per atom